# PrZr2Cu

An optimized crystal structure of PrZr2Cu (PBE, Alexandria via LeMat-Bulk).

Calculated values
ΔE to the lowest computed polymorph: 291.6 meV per atom
Calculated formation energy: 0.350 eV/atom
Density: 6.8 g cm⁻³

Cell lengths 3.1939, 3.1939, 32.1972 Å; angles 90.00, 90.00, 120.00 degrees
Space group R-3m (No. 166, hexagonal axes)
Asymmetric unit:
Pr1 0.0000 0.0000 0.0000 x3
Zr1 0.0000 0.0000 0.1010 x6
Cu1 0.0000 0.0000 0.5000 x3

# La4PbN

An optimized crystal structure of La4PbN (PBE, Alexandria via LeMat-Bulk).

Calculated values
Formation energy (no corrections): -0.6386 eV per atom
Density: 7.3 g cm⁻³

Cell lengths 16.3556, 6.0571, 7.5419 Å; angles 90.00, 108.08, 90.00 degrees
Space group C2/c (No. 15)
Asymmetric unit:
La1 0.1080 0.0440 0.4223 x8
La2 0.1918 0.4763 0.1904 x8
Pb1 0.0000 0.4472 0.7500 x4
N1 0.2500 0.2500 0.5000 x4

# KSrI

An optimized crystal structure of KSrI (PBE, Alexandria via LeMat-Bulk).

Calculated values
Formation energy (no corrections): -0.7978 eV per atom
ΔE to the lowest computed polymorph: 8.3 meV per atom
Density: 2.8 g cm⁻³

Cell lengths 17.1852, 4.4842, 7.7701 Å; angles 90.00, 90.00, 90.00 degrees
Space group Amm2 (No. 38)
Asymmetric unit:
K1 0.2149 0.0000 0.0000 x4
Sr1 0.0000 0.0000 0.6681 x2
Sr2 0.5000 0.0000 0.9992 x2
I1 0.3715 0.0000 0.6660 x4

Question: Which formula does entry 2 have?
Answer: La4PbN

Question: Which value of density does entry 3 give?
Answer: 2.8 g cm⁻³